(1)
PtWSeN2 after structural relaxation, computed with PBE.

Values from the calculation:
space-group type	P4/mmm (123)
energy above the most stable polymorph in this dataset	0.0	meV per atom
ΔE_f (raw)	0.623	eV per atom

Geometry as extended XYZ:
```
5
Lattice="3.8480 0.0000 0.0000 0.0000 3.8480 0.0000 0.0000 0.0000 5.5013" Properties=species:S:1:pos:R:3 pbc="T T T"
Pt 1.9240 1.9240 2.7507
N 0.0000 1.9240 0.0000
Se 0.0000 0.0000 2.7507
W 0.0000 0.0000 0.0000
N 1.9240 0.0000 0.0000
```

=====

(2)
LaCrAg2S after structural relaxation, computed with PBE.

Values from the calculation:
space-group type	P4/mmm (123)
ΔE_f (raw)	1.544	eV per atom

Geometry as extended XYZ:
```
5
Lattice="-0.5969 3.1338 4.5400 1.6883 -4.3441 3.2205 5.2629 1.6924 -0.4762" Properties=species:S:1:pos:R:3 pbc="T T T"
Ag 2.6314 0.8462 -0.2381
La 0.0000 0.0000 0.0000
Ag -0.2985 1.5669 2.2700
S 3.1771 0.2410 3.6422
Cr 0.8442 -2.1721 1.6102
```

=====

(3)
TbBe3Ir2 after structural relaxation, computed with PBE.

Values from the calculation:
ΔE_f	-360	kJ/mol of formula units
space-group type	Cmcm (63)

Geometry as extended XYZ:
```
12
Lattice="5.5702 0.0000 0.0000 0.0000 5.4306 -1.2443 0.0000 -0.1280 5.5698" Properties=species:S:1:pos:R:3 pbc="T T T"
Be 1.3926 4.8847 3.9847
Be 4.1777 0.4886 2.4658
Ir 0.0000 0.9814 4.2098
Tb 1.3926 1.7397 1.4192
Ir 2.7851 0.9814 4.2098
Ir 2.7851 4.3212 0.1157
Be 4.1777 0.4179 0.3409
Be 1.3926 4.8140 1.8598
Tb 4.1777 3.5629 2.9064
Be 4.1777 2.5137 -0.0167
Ir 0.0000 4.3212 0.1157
Be 1.3926 2.7889 4.3422
```

=====

(4)
Sr2TePdO6 after structural relaxation, computed with PBE.

Values from the calculation:
space-group type	C2/m (12)
ΔE_f (raw)	-1.776	eV per atom

Geometry as extended XYZ:
```
10
Lattice="-3.5262 1.9743 3.1446 -3.7112 -0.2434 -4.0087 1.8487 -5.3428 2.3426" Properties=species:S:1:pos:R:3 pbc="T T T"
O -2.5746 -2.1242 2.5125
Te -1.8556 -0.1217 -2.0044
O -1.5956 -4.3595 -0.1314
O -3.7932 0.7476 1.6099
Sr -0.7658 -2.1148 0.8374
Pd -1.7631 0.9872 1.5723
O -5.6572 0.6253 -0.4036
O 0.2685 -4.2372 1.8821
Sr -4.6230 -1.4971 0.6412
O -2.8141 -1.4877 -1.0340
```

=====

(5)
AcEuCdAs after structural relaxation, computed with PBE.

Values from the calculation:
ΔE_f	-230	kJ/mol of formula units
space-group type	F-43m (216)

Geometry as extended XYZ:
```
4
Lattice="-2.5236 2.6630 -4.1234 0.0800 -2.1042 -5.1018 -4.6175 -2.0694 -2.2044" Properties=species:S:1:pos:R:3 pbc="T T T"
Ac 0.0000 0.0000 0.0000
Eu -3.5305 -0.7553 -5.7148
As -1.7653 -0.3777 -2.8574
Cd -5.2958 -1.1330 -8.5722
```

=====

| no. | calculated volume (Å³ per cell) |
| --- | --- |
| 1 | 81 |
| 2 | 174 |
| 3 | 168 |
| 4 | 144 |
| 5 | 119 |